(1)
DFT (PBE) results for crystalline MgFe2Cl at its relaxed geometry.

Properties
**ΔE to the lowest computed polymorph**: 589 meV per atom
**Uncorrected formation energy**: 0.51 eV/atom
**Spin magnetization**: 5.1 μB/f.u.
**DOS(E_F)**: 3.79 states/eV/f.u.

abc: 4.8883 4.8883 4.8883
angles: 133.14 133.14 68.43
Last column: magnetic moment on the atom in μB.
Positions (direct):
1 Cl 0.7500 0.2500 0.5000  0.05
2 Fe 0.0000 0.0000 0.0000  2.59
3 Fe 0.2500 0.7500 0.5000  2.62
4 Mg 0.5000 0.5000 0.0000  -0.04



(2)
DFT (PBE) results for crystalline CdSeF2 at its relaxed geometry.

Properties
**ΔE to the lowest computed polymorph**: 83 meV per atom
**Uncorrected formation energy**: -0.95 eV/atom
**Spin magnetization**: 0.0 μB/f.u.
**DOS(E_F)**: 0.32 states/eV/f.u.

abc: 6.8357 6.8357 5.6919
angles: 53.10 53.10 90.00
Positions (direct):
1 F 0.6999 0.1250 0.2500
2 F 0.0501 0.6250 0.2500
3 F 0.3750 0.3001 0.7500
4 F 0.8750 0.9499 0.7500
5 Se 0.5000 0.5000 0.0000
6 Se 0.2500 0.7500 0.5000
7 Cd 0.0000 0.0000 0.0000
8 Cd 0.7500 0.2500 0.5000



(3)
DFT (PBE) results for crystalline Cs2RbNa at its relaxed geometry.

Properties
**ΔE to the lowest computed polymorph**: 8 meV per atom
**Formation energy from the elements**: 0.019 eV/atom
**Spin magnetization**: 0.0 μB/f.u.
**DOS(E_F)**: 3.80 states/eV/f.u.

abc: 5.4020 9.6978 13.9066
angles: 90.00 90.00 106.65
Positions (direct):
1 Cs 0.3661 0.7285 0.5578
2 Cs 0.6339 0.2715 0.4422
3 Cs 0.3661 0.7285 0.9422
4 Cs 0.6339 0.2715 0.0578
5 Rb 0.9380 0.8761 0.2500
6 Rb 0.0620 0.1239 0.7500
7 Na 0.7388 0.4762 0.7500
8 Na 0.2612 0.5238 0.2500



(4)
DFT (PBE) results for crystalline Cr2Ag at its relaxed geometry.

Properties
**Formation energy from the elements**: 0.639 eV/atom
**Spin magnetization**: 0.0 μB/f.u.
**DOS(E_F)**: 4.49 states/eV/f.u.

abc: 2.6242 2.6242 6.9558
angles: 90.00 90.00 120.00
Positions (direct):
1 Ag 0.0000 0.0000 0.0000
2 Cr 0.3333 0.6667 0.6521
3 Cr 0.6667 0.3333 0.3479



(5)
DFT (PBE) results for crystalline LiOs3F at its relaxed geometry.

Properties
**ΔE to the lowest computed polymorph**: 0 meV per atom
**Uncorrected formation energy**: 1.68 eV/atom
**Spin magnetization**: 1.2 μB/f.u.
**DOS(E_F)**: 7.00 states/eV/f.u.

abc: 4.2133 4.2133 4.2133
angles: 90.00 90.00 90.00
Last column: magnetic moment on the atom in μB.
Positions (direct):
1 Li 0.5000 0.5000 0.5000  -0.01
2 Os 0.0000 0.5000 0.0000  0.49
3 Os 0.0000 0.0000 0.5000  0.31
4 Os 0.5000 0.0000 0.0000  0.42
5 F 0.0000 0.0000 0.0000  0.00



(6)
DFT (PBE) results for crystalline Li2MnPd2 at its relaxed geometry.

Properties
**ΔE to the lowest computed polymorph**: 412 meV per atom
**Formation energy from the elements**: 0.174 eV/atom
**Spin magnetization**: 0.0 μB/f.u.
**DOS(E_F)**: 4.61 states/eV/f.u.

abc: 7.1118 7.1118 2.6785
angles: 90.00 90.00 90.00
Positions (direct):
1 Mn 0.0000 0.0000 0.0000
2 Mn 0.5000 0.5000 0.0000
3 Pd 0.3308 0.8308 0.0000
4 Pd 0.8308 0.6692 0.0000
5 Pd 0.6692 0.1692 0.0000
6 Pd 0.1692 0.3308 0.0000
7 Li 0.1306 0.6306 0.5000
8 Li 0.6306 0.8694 0.5000
9 Li 0.8694 0.3694 0.5000
10 Li 0.3694 0.1306 0.5000